# 1
A relaxed structure of CaZrTe2N. Source: the Alexandria database, functional PBE.

Values from the calculation:
**Crystal system**: tetragonal
**Electronic total energy**: -28.4 eV for the cell shown
**SG**: No. 123
**Polymorph energy (0 for the lowest one)**: 0 meV/atom
**Size of the total moment**: 0.193 μB per cell

Lattice parameters (Å, degrees): 5.8235 5.8235 4.0749 90.00 90.00 90.00
Fractional positions:
Ca  0.0000  0.0000  0.0000
Zr  0.5000  0.5000  0.5000
Te  0.0000  0.5000  0.5000
Te  0.5000  0.0000  0.5000
N  0.5000  0.5000  0.0000

---

# 2
A relaxed structure of SbAsH. Source: the Alexandria database, functional PBE.

Values from the calculation:
**Crystal system**: monoclinic
**Electronic total energy**: -23.9 eV for the cell shown
**SG**: No. 12
**Polymorph energy (0 for the lowest one)**: 0 meV/atom
**Size of the total moment**: 0.000 μB per cell

Lattice parameters (Å, degrees): 4.1757 4.1757 8.8726 93.16 93.16 89.99
Fractional positions:
Sb  0.2338  0.2338  0.3664
Sb  0.7662  0.7662  0.6336
As  0.2698  0.2698  0.6666
As  0.7302  0.7302  0.3334
H  0.0396  0.0396  0.9686
H  0.9604  0.9604  0.0314

---

# 3
A relaxed structure of CeZnAg. Source: the Alexandria database, functional PBE.

Values from the calculation:
**Crystal system**: hexagonal
**Formation energy**: -238 meV per atom
**Electronic total energy**: -10.8 eV for the cell shown
**SG**: No. 187
**Size of the total moment**: 0.878 μB per cell

Lattice parameters (Å, degrees): 4.7782 4.7782 3.2690 90.00 90.00 120.00
Fractional positions:
Ce  0.0000  0.0000  0.0000
Zn  0.3333  0.6667  0.5000
Ag  0.6667  0.3333  0.5000

---

# 4
A relaxed structure of BaSr2In. Source: the Alexandria database, functional PBE.

Values from the calculation:
**Crystal system**: trigonal
**Formation energy**: -195 meV per atom
**Electronic total energy**: -17.6 eV for the cell shown
**SG**: No. 164
**Polymorph energy (0 for the lowest one)**: 26 meV/atom
**Size of the total moment**: 1.809 μB per cell

Lattice parameters (Å, degrees): 6.2042 6.2042 10.8551 90.00 90.00 120.00
Fractional positions:
Ba  0.0000  0.0000  0.2503
Ba  0.0000  0.0000  0.7497
Sr  0.3333  0.6667  0.0694
Sr  0.3333  0.6667  0.4307
Sr  0.6667  0.3333  0.5693
Sr  0.6667  0.3333  0.9306
In  0.3333  0.6667  0.7500
In  0.6667  0.3333  0.2500

---

# 5
A relaxed structure of YVSi. Source: the Alexandria database, functional PBE.

Values from the calculation:
**Crystal system**: monoclinic
**Electronic total energy**: -43.4 eV for the cell shown
**SG**: No. 12
**Size of the total moment**: 0.013 μB per cell

Lattice parameters (Å, degrees): 5.3454 5.3454 6.6985 100.65 100.65 42.92
Fractional positions:
Y  0.1144  0.1144  0.3022
Y  0.8856  0.8856  0.6978
V  0.3776  0.3776  0.0559
V  0.6224  0.6224  0.9441
Si  0.1827  0.1827  0.7604
Si  0.8173  0.8173  0.2396

---

# 6
A relaxed structure of Pm2Co2Si. Source: the Alexandria database, functional PBE.

Values from the calculation:
**Crystal system**: monoclinic
**Electronic total energy**: -62.4 eV for the cell shown
**SG**: No. 15
**Size of the total moment**: 0.000 μB per cell

Lattice parameters (Å, degrees): 5.4312 5.4312 7.4200 101.58 101.58 61.43
Fractional positions:
Pm  0.0168  0.2841  0.1500
Pm  0.2841  0.0168  0.6500
Pm  0.7159  0.9832  0.3500
Pm  0.9832  0.7159  0.8500
Co  0.2416  0.5046  0.4944
Co  0.4954  0.7584  0.0056
Co  0.5046  0.2416  0.9944
Co  0.7584  0.4954  0.5056
Si  0.3875  0.6125  0.2500
Si  0.6125  0.3875  0.7500

---

# 7
A relaxed structure of SiHg2Rh. Source: the Alexandria database, functional PBE.

Values from the calculation:
**Crystal system**: orthorhombic
**Electronic total energy**: -13.1 eV for the cell shown
**SG**: No. 44
**Size of the total moment**: 0.000 μB per cell

Lattice parameters (Å, degrees): 6.3415 6.3415 6.3415 152.59 136.31 52.35
Fractional positions:
Si  0.0000  0.0000  0.0000
Hg  0.3147  0.8147  0.5000
Hg  0.6151  0.6151  0.0000
Rh  0.8421  0.3421  0.5000

---

# 8
A relaxed structure of LaRh2Au. Source: the Alexandria database, functional PBE.

Values from the calculation:
**Crystal system**: monoclinic
**Formation energy**: -238 meV per atom
**Electronic total energy**: -23.9 eV for the cell shown
**SG**: No. 12
**Size of the total moment**: 0.000 μB per cell

Lattice parameters (Å, degrees): 5.4645 5.4645 3.1741 104.70 104.70 113.74
Fractional positions:
La  0.0000  0.0000  0.0000
Rh  0.0000  0.5000  0.5000
Rh  0.5000  0.0000  0.5000
Au  0.5000  0.5000  0.0000

---

# 9
A relaxed structure of LaTl4. Source: the Alexandria database, functional PBE.

Values from the calculation:
**Crystal system**: cubic
**Formation energy**: 221 meV per atom
**Electronic total energy**: -13.3 eV for the cell shown
**SG**: No. 229
**Polymorph energy (0 for the lowest one)**: 445 meV/atom
**Size of the total moment**: 0.000 μB per cell

Lattice parameters (Å, degrees): 6.4417 6.4417 6.4417 109.47 109.47 109.47
Fractional positions:
La  0.0000  0.0000  0.0000
Tl  0.0000  0.0000  0.5000
Tl  0.0000  0.5000  0.0000
Tl  0.5000  0.0000  0.0000
Tl  0.5000  0.5000  0.5000

---

# 10
A relaxed structure of LiBiS2. Source: the Alexandria database, functional PBE.

Values from the calculation:
**Crystal system**: trigonal
**Electronic total energy**: -16.5 eV for the cell shown
**SG**: No. 166
**Size of the total moment**: 0.000 μB per cell

Lattice parameters (Å, degrees): 7.9469 7.9469 7.9469 30.44 30.44 30.44
Fractional positions:
Li  0.0000  0.0000  0.0000
Bi  0.5000  0.5000  0.5000
S  0.1000  0.1000  0.1000
S  0.9000  0.9000  0.9000

---

# 11
A relaxed structure of DyPuSiAg. Source: the Alexandria database, functional PBE.

Values from the calculation:
**Crystal system**: cubic
**Electronic total energy**: -28.3 eV for the cell shown
**SG**: No. 216
**Size of the total moment**: 6.231 μB per cell

Lattice parameters (Å, degrees): 5.0660 5.0660 5.0660 60.00 60.00 60.00
Fractional positions:
Dy  0.0000  0.0000  0.0000
Pu  0.5000  0.5000  0.5000
Si  0.7500  0.7500  0.7500
Ag  0.2500  0.2500  0.2500

---

# 12
A relaxed structure of Sm2ErAlO. Source: the Alexandria database, functional PBE.

Values from the calculation:
**Crystal system**: tetragonal
**Electronic total energy**: -29.4 eV for the cell shown
**SG**: No. 123
**Size of the total moment**: 0.000 μB per cell

Lattice parameters (Å, degrees): 4.8817 4.8817 4.6401 90.00 90.00 90.00
Fractional positions:
Sm  0.0000  0.5000  0.0000
Sm  0.5000  0.0000  0.0000
Er  0.0000  0.0000  0.5000
Al  0.5000  0.5000  0.5000
O  0.0000  0.0000  0.0000

---

# 13
A relaxed structure of AsH2Ir. Source: the Alexandria database, functional PBE.

Values from the calculation:
**Crystal system**: orthorhombic
**Electronic total energy**: -19.7 eV for the cell shown
**SG**: No. 44
**Polymorph energy (0 for the lowest one)**: 104 meV/atom
**Size of the total moment**: 0.000 μB per cell

Lattice parameters (Å, degrees): 4.6299 4.6299 4.6299 142.00 129.35 65.04
Fractional positions:
As  0.0000  0.0000  0.0000
H  0.2099  0.2099  0.0000
H  0.6535  0.6535  0.0000
Ir  0.4490  0.4490  0.0000

---

# 14
A relaxed structure of BaVGa2. Source: the Alexandria database, functional PBE.

Values from the calculation:
**Crystal system**: tetragonal
**Formation energy**: 152 meV per atom
**Electronic total energy**: -33.0 eV for the cell shown
**SG**: No. 141
**Polymorph energy (0 for the lowest one)**: 0 meV/atom
**Size of the total moment**: 6.824 μB per cell

Lattice parameters (Å, degrees): 9.5887 9.5887 9.5887 148.21 148.21 45.58
Fractional positions:
Ba  0.3750  0.6250  0.7500
Ba  0.6250  0.3750  0.2500
V  0.1250  0.8750  0.2500
V  0.8750  0.1250  0.7500
Ga  0.0000  0.0000  0.0000
Ga  0.0000  0.0000  0.5000
Ga  0.0000  0.5000  0.0000
Ga  0.5000  0.0000  0.5000

---

# 15
A relaxed structure of NiMoRh. Source: the Alexandria database, functional PBE.

Values from the calculation:
**Crystal system**: trigonal
**Formation energy**: -13 meV per atom
**Electronic total energy**: -24.0 eV for the cell shown
**SG**: No. 156
**Polymorph energy (0 for the lowest one)**: 142 meV/atom
**Size of the total moment**: 0.000 μB per cell

Lattice parameters (Å, degrees): 4.2363 4.2363 2.6652 90.00 90.00 120.00
Fractional positions:
Ni  0.0000  0.0000  0.0000
Mo  0.6667  0.3333  0.9802
Rh  0.3333  0.6667  0.4876

---

# 16
A relaxed structure of Co2Si2S. Source: the Alexandria database, functional PBE.

Values from the calculation:
**Crystal system**: tetragonal
**Electronic total energy**: -29.6 eV for the cell shown
**SG**: No. 139
**Polymorph energy (0 for the lowest one)**: 62 meV/atom
**Size of the total moment**: 0.000 μB per cell

Lattice parameters (Å, degrees): 6.0845 6.0845 6.0845 146.98 146.98 47.40
Fractional positions:
Co  0.1201  0.1201  0.0000
Co  0.8799  0.8799  0.0000
Si  0.2500  0.7500  0.5000
Si  0.7500  0.2500  0.5000
S  0.5000  0.5000  0.0000

---

# 17
A relaxed structure of Pm5Nd2SmTh. Source: the Alexandria database, functional PBE.

Values from the calculation:
**Crystal system**: orthorhombic
**Formation energy**: 151 meV per atom
**Electronic total energy**: -88.1 eV for the cell shown
**SG**: No. 36
**Size of the total moment**: 0.000 μB per cell

Lattice parameters (Å, degrees): 11.2390 11.2390 10.0700 90.00 90.00 149.78
Fractional positions:
Pm  0.0156  0.9844  0.5000
Pm  0.2749  0.7251  0.8019
Pm  0.3025  0.6975  0.1910
Pm  0.4010  0.5990  0.5238
Pm  0.4685  0.5315  0.2234
Pm  0.5315  0.4685  0.7234
Pm  0.5990  0.4010  0.0238
Pm  0.6975  0.3025  0.6910
Pm  0.7251  0.2749  0.3019
Pm  0.9844  0.0156  0.0000
Nd  0.1181  0.8819  0.8176
Nd  0.1238  0.8762  0.1988
Nd  0.8762  0.1238  0.6988
Nd  0.8819  0.1181  0.3176
Sm  0.1896  0.8104  0.4988
Sm  0.8104  0.1896  0.9988
Th  0.4081  0.5919  0.9095
Th  0.5919  0.4081  0.4095

---

# 18
A relaxed structure of Rb2PtCI6. Source: the Alexandria database, functional PBE.

Values from the calculation:
**Crystal system**: tetragonal
**Electronic total energy**: -27.6 eV for the cell shown
**SG**: No. 139
**Size of the total moment**: 0.000 μB per cell

Lattice parameters (Å, degrees): 7.8100 7.8100 7.8100 120.10 120.10 89.83
Fractional positions:
Rb  0.2500  0.7500  0.5000
Rb  0.7500  0.2500  0.5000
Pt  0.0000  0.0000  0.0000
C  0.5000  0.5000  0.0000
I  0.2534  0.2534  0.0000
I  0.2529  0.2529  0.5058
I  0.2529  0.7471  0.0000
I  0.7471  0.2529  0.0000
I  0.7466  0.7466  0.0000
I  0.7471  0.7471  0.4942

---

# 19
A relaxed structure of SrLaCd2. Source: the Alexandria database, functional PBE.

Values from the calculation:
**Crystal system**: tetragonal
**Formation energy**: -140 meV per atom
**Electronic total energy**: -9.0 eV for the cell shown
**SG**: No. 99
**Size of the total moment**: 0.839 μB per cell

Lattice parameters (Å, degrees): 4.1758 4.1758 7.6310 90.00 90.00 90.00
Fractional positions:
Sr  0.0000  0.0000  0.0000
La  0.5000  0.5000  0.6549
Cd  0.0000  0.0000  0.4497
Cd  0.5000  0.5000  0.2224

---

# 20
A relaxed structure of MnSb2TeAu. Source: the Alexandria database, functional PBE.

Values from the calculation:
**Crystal system**: tetragonal
**Electronic total energy**: -19.7 eV for the cell shown
**SG**: No. 123
**Polymorph energy (0 for the lowest one)**: 383 meV/atom
**Size of the total moment**: 4.168 μB per cell

Lattice parameters (Å, degrees): 5.3624 5.3624 5.5162 90.00 90.00 90.00
Fractional positions:
Mn  0.0000  0.0000  0.0000
Sb  0.0000  0.5000  0.5000
Sb  0.5000  0.0000  0.5000
Te  0.5000  0.5000  0.0000
Au  0.5000  0.5000  0.5000